# RbYSnTe3, relaxed, DFT PBE-GGA
# Energy relative to the elements, uncorrected = -1.0146 eV per atom
# Raw total energy = -0.3301 Ry/atom
# Crystal system = monoclinic
data_RbYSnTe3
_symmetry_space_group_name_H-M 'P 1'
_symmetry_Int_Tables_number 1
_symmetry_space_group_name_Hall 'P 1'
_cell_length_a 4.448
_cell_length_b 9.568
_cell_length_c 11.985
_cell_angle_alpha 109.49
_cell_angle_beta 90.00
_cell_angle_gamma 90.00
loop_
_atom_site_label
_atom_site_type_symbol
_atom_site_fract_x
_atom_site_fract_y
_atom_site_fract_z
Sn1 Sn 0.250 0.130 0.557
Sn2 Sn 0.750 0.870 0.443
Te1 Te 0.250 0.603 0.892
Te2 Te 0.750 0.347 0.577
Te3 Te 0.750 0.878 0.205
Te4 Te 0.250 0.653 0.423
Te5 Te 0.750 0.397 0.108
Te6 Te 0.250 0.122 0.795
Y1 Y 0.250 0.633 0.155
Y2 Y 0.750 0.367 0.845
Rb1 Rb 0.750 0.778 0.733
Rb2 Rb 0.250 0.222 0.267

***

# SrCd3Pb3, relaxed, DFT PBE-GGA
# Formation enthalpy at 0 K = 17.6 kJ per mole of atoms
# Density of states at the Fermi level = 5.14 states/eV/f.u.
# Raw total energy = -0.1499 Ry/atom
# Crystal system = cubic
# Relative energy among the computed polymorphs = 312 meV/atom
data_SrCd3Pb3
_symmetry_space_group_name_H-M 'P 1'
_symmetry_Int_Tables_number 1
_symmetry_space_group_name_Hall 'P 1'
_cell_length_a 8.151
_cell_length_b 8.151
_cell_length_c 8.151
_cell_angle_alpha 90.00
_cell_angle_beta 90.00
_cell_angle_gamma 90.00
loop_
_atom_site_label
_atom_site_type_symbol
_atom_site_fract_x
_atom_site_fract_y
_atom_site_fract_z
Pb1 Pb 0.250 0.500 0.000
Pb2 Pb 0.500 0.000 0.250
Pb3 Pb 0.000 0.250 0.500
Pb4 Pb 0.000 0.750 0.500
Pb5 Pb 0.750 0.500 0.000
Pb6 Pb 0.500 0.000 0.750
Cd1 Cd 0.500 0.750 0.000
Cd2 Cd 0.750 0.000 0.500
Cd3 Cd 0.000 0.500 0.750
Cd4 Cd 0.250 0.000 0.500
Cd5 Cd 0.500 0.250 0.000
Cd6 Cd 0.000 0.500 0.250
Sr1 Sr 0.500 0.500 0.500
Sr2 Sr 0.000 0.000 0.000

***

# SmFe4Si4, relaxed, DFT PBE-GGA
# Density of states at the Fermi level = 3.25 states/eV/f.u.
# Energy relative to the elements, uncorrected = -0.4731 eV per atom
# Raw total energy = -0.5269 Ry/atom
# Crystal system = tetragonal
data_SmFe4Si4
_symmetry_space_group_name_H-M 'P 1'
_symmetry_Int_Tables_number 1
_symmetry_space_group_name_Hall 'P 1'
_cell_length_a 4.081
_cell_length_b 7.883
_cell_length_c 7.883
_cell_angle_alpha 90.00
_cell_angle_beta 90.00
_cell_angle_gamma 90.00
loop_
_atom_site_label
_atom_site_type_symbol
_atom_site_fract_x
_atom_site_fract_y
_atom_site_fract_z
Fe1 Fe 0.000 0.112 0.601
Fe2 Fe 0.500 0.899 0.612
Fe3 Fe 0.000 0.399 0.112
Fe4 Fe 0.000 0.888 0.399
Fe5 Fe 0.500 0.101 0.388
Fe6 Fe 0.000 0.601 0.888
Fe7 Fe 0.500 0.388 0.899
Fe8 Fe 0.500 0.612 0.101
Sm1 Sm 0.000 0.000 0.000
Sm2 Sm 0.500 0.500 0.500
Si1 Si 0.000 0.334 0.784
Si2 Si 0.500 0.284 0.166
Si3 Si 0.000 0.216 0.334
Si4 Si 0.000 0.784 0.666
Si5 Si 0.500 0.166 0.716
Si6 Si 0.500 0.834 0.284
Si7 Si 0.000 0.666 0.216
Si8 Si 0.500 0.716 0.834

***

# SmErCo, relaxed, DFT PBE-GGA
# Formation enthalpy at 0 K = -7.9 kJ per mole of atoms
# Density of states at the Fermi level = 2.33 states/eV/f.u.
# Raw total energy = -0.4075 Ry/atom
# Crystal system = tetragonal
# Relative energy among the computed polymorphs = 63 meV/atom
data_SmErCo
_symmetry_space_group_name_H-M 'P 1'
_symmetry_Int_Tables_number 1
_symmetry_space_group_name_Hall 'P 1'
_cell_length_a 3.384
_cell_length_b 3.384
_cell_length_c 6.792
_cell_angle_alpha 104.43
_cell_angle_beta 104.43
_cell_angle_gamma 90.00
loop_
_atom_site_label
_atom_site_type_symbol
_atom_site_fract_x
_atom_site_fract_y
_atom_site_fract_z
Er1 Er 0.293 0.293 0.585
Co1 Co 0.671 0.671 0.342
Sm1 Sm 0.036 0.036 0.073

***

# AgRhSeBr2, relaxed, DFT PBE-GGA
# Density of states at the Fermi level = 8.29 states/eV/f.u.
# Energy relative to the elements, uncorrected = 0.8435 eV per atom
# Raw total energy = -0.1884 Ry/atom
# Crystal system = tetragonal
# Relative energy among the computed polymorphs = 688 meV/atom
data_AgRhSeBr2
_symmetry_space_group_name_H-M 'P 1'
_symmetry_Int_Tables_number 1
_symmetry_space_group_name_Hall 'P 1'
_cell_length_a 5.216
_cell_length_b 5.216
_cell_length_c 5.157
_cell_angle_alpha 90.00
_cell_angle_beta 90.00
_cell_angle_gamma 90.00
loop_
_atom_site_label
_atom_site_type_symbol
_atom_site_fract_x
_atom_site_fract_y
_atom_site_fract_z
Br1 Br 0.500 0.000 0.000
Br2 Br 0.000 0.500 0.000
Ag1 Ag 0.000 0.000 0.000
Rh1 Rh 0.500 0.500 0.500
Se1 Se 0.000 0.000 0.500

***

# Na2SiAs2, relaxed, DFT PBE-GGA
# Energy relative to the elements, uncorrected = -0.3638 eV per atom
# Raw total energy = -0.2819 Ry/atom
# Crystal system = orthorhombic
# Relative energy among the computed polymorphs = 0 meV/atom
data_Na2SiAs2
_symmetry_space_group_name_H-M 'P 1'
_symmetry_Int_Tables_number 1
_symmetry_space_group_name_Hall 'P 1'
_cell_length_a 6.343
_cell_length_b 6.620
_cell_length_c 7.458
_cell_angle_alpha 116.35
_cell_angle_beta 115.17
_cell_angle_gamma 90.00
loop_
_atom_site_label
_atom_site_type_symbol
_atom_site_fract_x
_atom_site_fract_y
_atom_site_fract_z
As1 As 0.391 0.580 0.782
As2 As 0.609 0.420 0.218
As3 As 0.891 0.201 0.782
As4 As 0.109 0.799 0.218
Na1 Na 0.861 0.712 0.722
Na2 Na 0.361 0.011 0.722
Na3 Na 0.639 0.989 0.278
Na4 Na 0.139 0.288 0.278
Si1 Si 0.250 0.500 0.000
Si2 Si 0.750 0.500 0.000